(1)
CsNd2C2 | GGA-PBE | optimized geometry

The structure in CIF format:
```
data_CsNd2C2
_cell_length_a 4.629
_cell_length_b 4.629
_cell_length_c 13.212
_cell_angle_alpha 90.00
_cell_angle_beta 90.00
_cell_angle_gamma 90.00
_space_group_name_H-M_alt 'I 4/m m m'
_space_group_IT_number 139
_space_group_name_Hall '-I 4 2'
loop_
_atom_site_label
_atom_site_fract_x
_atom_site_fract_y
_atom_site_fract_z
Cs1 0.000 0.000 0.000
Nd1 0.000 0.000 0.317
C1 0.000 0.500 0.250
```

## Properties
The calculation puts the final energy at -5.2756 eV per atom.

***

(2)
CsPrC2O6 | GGA-PBE | optimized geometry

The structure in CIF format:
```
data_CsPrC2O6
_cell_length_a 8.506
_cell_length_b 8.768
_cell_length_c 8.903
_cell_angle_alpha 98.43
_cell_angle_beta 96.02
_cell_angle_gamma 115.12
_space_group_name_H-M_alt 'P -1'
_space_group_IT_number 2
_space_group_name_Hall '-P 1'
loop_
_atom_site_label
_atom_site_fract_x
_atom_site_fract_y
_atom_site_fract_z
Cs1 0.239 0.187 0.028
Cs2 0.240 0.029 0.536
Pr1 0.245 0.714 0.037
Pr2 0.262 0.521 0.547
C1 0.004 0.733 0.712
C2 0.024 0.283 0.788
C3 0.420 0.601 0.264
C4 0.456 0.860 0.754
O1 0.047 0.633 0.618
O2 0.064 0.419 0.898
O3 0.098 0.813 0.848
O4 0.108 0.858 0.203
O5 0.113 0.290 0.681
O6 0.135 0.251 0.337
O7 0.276 0.616 0.287
O8 0.398 0.722 0.815
O9 0.446 0.834 0.606
O10 0.474 0.625 0.137
O11 0.481 0.989 0.160
O12 0.499 0.564 0.375
```

## Properties
The calculation puts the final energy at -7.4944 eV per atom.

***

(3)
Cs2PtC2 | GGA-PBE | optimized geometry

The structure in CIF format:
```
data_Cs2PtC2
_cell_length_a 5.7067
_cell_length_b 5.7067
_cell_length_c 5.2505
_cell_angle_alpha 90.00
_cell_angle_beta 90.00
_cell_angle_gamma 120.00
_space_group_name_H-M_alt 'P -3 m 1'
_space_group_IT_number 164
_space_group_name_Hall '-P 3 2"'
loop_
_atom_site_label
_atom_site_fract_x
_atom_site_fract_y
_atom_site_fract_z
Cs1 0.3333 0.6667 0.2254
Pt1 0.0000 0.0000 0.5000
C1 0.0000 0.0000 0.1215
```

## Properties
The calculation puts the final energy at -5.3163 eV per atom.

***

(4)
CsRbPtC2 | GGA-PBE | optimized geometry

The structure in CIF format:
```
data_CsRbPtC2
_cell_length_a 5.5874
_cell_length_b 5.5874
_cell_length_c 5.2480
_cell_angle_alpha 90.00
_cell_angle_beta 90.00
_cell_angle_gamma 120.00
_space_group_name_H-M_alt 'P 3 m 1'
_space_group_IT_number 156
_space_group_name_Hall 'P 3 -2"'
loop_
_atom_site_label
_atom_site_fract_x
_atom_site_fract_y
_atom_site_fract_z
Cs1 0.0000 0.0000 0.0000
Rb1 0.6667 0.3333 0.4501
Pt1 0.3333 0.6667 0.7245
C1 0.3333 0.6667 0.1037
C2 0.3333 0.6667 0.3465
```

## Properties
The calculation puts the final energy at -5.3298 eV per atom.